No. 1
The following is a DFT calculation (PBE) of a relaxed structure of Ac3TlAg2.

* volume: 195.00 Å³/cell
* calculated formation energy: -0.29 eV per atom
* calculated density: 9.38 Mg/m³

Geometry as POSCAR:
```
Ac3TlAg2
1.0
-2.6576 1.5246 -2.5179
-2.8389 -0.4316 2.7352
2.4309 11.3661 4.3167
Ag Tl Ac
2 1 3
Direct
0.5000 0.5000 0.1593
0.5000 0.5000 0.8407
0.5000 0.5000 0.5000
0.0000 0.0000 0.6792
0.0000 0.0000 0.3208
0.0000 0.0000 0.0000
```

=====

No. 2
The following is a DFT calculation (PBE) of a relaxed structure of BaLi2AlTl.

* volume: 149.65 Å³/cell
* calculated formation energy: 0.01 eV per atom
* calculated density: 4.25 Mg/m³

Geometry as POSCAR:
```
BaLi2AlTl
1.0
-2.4223 -4.5849 -0.9920
4.7692 -2.4350 -0.3916
-0.1155 -1.0578 5.1711
Li Al Ba Tl
2 1 1 1
Direct
0.5000 0.0000 0.0000
0.0000 0.0000 0.5000
0.0000 0.5000 0.0000
0.5000 0.5000 0.5000
0.0000 0.0000 0.0000
```